No. 1
A geometry-optimized PrPb structure, computed with GGA-PBE.

It has space group F-43m (No. 216), with a = 7.198 Å, b = 7.198 Å, c = 7.198 Å, α = 90.00°, β = 90.00° and γ = 90.00°. The asymmetric unit holds Pr at (0.000, 0.000, 0.000) and Pb at (0.250, 0.250, 0.250).

The total energy is -7.914 eV per formula unit.

No. 2
A geometry-optimized NdTaO4 structure, computed with GGA-PBE.

It has space group P2_1/c (No. 14), with a = 7.571 Å, b = 5.470 Å, c = 7.709 Å, α = 90.00°, β = 99.82° and γ = 90.00°. The asymmetric unit holds Nd at (0.152, 0.224, 0.400), Ta at (0.334, 0.731, 0.196), O at (0.115, 0.511, 0.169), O at (0.166, 0.510, 0.629), O at (0.335, 0.646, 0.944) and O at (0.439, 0.094, 0.803).

The total energy is -55.599 eV per formula unit.

No. 3
A geometry-optimized Sc2PtSe4 structure, computed with GGA-PBE.

It has space group Fd-3m (No. 227, origin choice 2), with a = 10.998 Å, b = 10.998 Å, c = 10.998 Å, α = 90.00°, β = 90.00° and γ = 90.00°. The asymmetric unit holds Sc at (0.000, 0.000, 0.000), Pt at (0.125, 0.125, 0.625) and Se at (0.005, 0.005, 0.245).

The total energy is -40.188 eV per formula unit.

No. 4
A geometry-optimized ScSiIr structure, computed with GGA-PBE.

It has space group Pnma (No. 62), with a = 6.486 Å, b = 4.076 Å, c = 7.319 Å, α = 90.00°, β = 90.00° and γ = 90.00°. The asymmetric unit holds Sc at (0.011, 0.250, 0.186), Si at (0.212, 0.750, 0.380) and Ir at (0.160, 0.250, 0.560).

The total energy is -24.054 eV per formula unit.

No. 5
A geometry-optimized Tl2OsS3 structure, computed with GGA-PBE.

It has space group P2_1/m (No. 11), with a = 7.511 Å, b = 3.755 Å, c = 9.858 Å, α = 90.00°, β = 96.01° and γ = 90.00°. The asymmetric unit holds Tl at (0.073, 0.250, 0.153), Tl at (0.249, 0.750, 0.505), Os at (0.428, 0.250, 0.839), S at (0.146, 0.250, 0.704), S at (0.339, 0.750, 0.977) and S at (0.458, 0.250, 0.270).

The calculation puts the energy relative to the lowest polymorph listed for this composition at 0.000 eV per formula unit.

No. 6
A geometry-optimized GeOsNO structure, computed with GGA-PBE.

It has space group P4/nmm (No. 129, origin choice 2), with a = 4.225 Å, b = 4.225 Å, c = 5.143 Å, α = 90.00°, β = 90.00° and γ = 90.00°. The asymmetric unit holds Ge at (0.250, 0.750, 0.000), Os at (0.250, 0.250, 0.455), N at (0.250, 0.250, 0.835) and O at (0.250, 0.750, 0.500).

The calculation puts the energy relative to the lowest polymorph listed for this composition at 3.484 eV per formula unit.

No. 7
A geometry-optimized DyYIn4Fe2 structure, computed with GGA-PBE.

It has space group Amm2 (No. 38), with a = 7.547 Å, b = 4.295 Å, c = 10.646 Å, α = 90.00°, β = 90.00° and γ = 90.00°. The asymmetric unit holds Dy at (0.000, 0.000, 0.000), Y at (0.500, 0.000, 0.136), In at (0.200, 0.000, 0.709), In at (0.300, 0.000, 0.427), Fe at (0.000, 0.000, 0.280) and Fe at (0.500, 0.000, 0.856).

The total energy is -39.989 eV per formula unit.

No. 8
A geometry-optimized BaNdSn2 structure, computed with GGA-PBE.

It has space group Amm2 (No. 38), with a = 3.543 Å, b = 6.653 Å, c = 12.960 Å, α = 90.00°, β = 90.00° and γ = 90.00°. The asymmetric unit holds Ba at (0.000, 0.000, 0.000), Nd at (0.000, 0.000, 0.715), Sn at (0.000, 0.000, 0.262) and Sn at (0.000, 0.000, 0.480).

The total energy is -14.545 eV per formula unit.

no.,total magnetization (μB per formula unit),density (g/cm3)
1,0.00,6.20
2,0.00,8.22
3,0.35,6.00
4,0.00,9.11
5,0.00,8.35
6,0.00,10.59
7,3.95,7.91
8,0.13,5.64